Arrangement one

Density functional theory data (PBE) for YNb2Ge2 after structural relaxation.

```
5
Lattice="-2.471 2.471 4.318 2.471 -2.471 4.318 2.471 2.471 -4.318" Properties=species:S:1:pos:R:3 pbc="T T T"
Y 0.000 0.000 0.000
Nb 0.000 0.000 3.048
Nb 0.000 0.000 5.588
Ge 2.471 0.000 2.159
Ge 0.000 2.471 2.159
```

Results
crystal system	tetragonal
space-group type	I4/mmm

Arrangement two

Density functional theory data (PBE) for YNb2Ge2 after structural relaxation.

```
10
Lattice="7.297 0.000 0.000 0.000 7.297 0.000 0.000 0.000 3.539" Properties=species:S:1:pos:R:3 pbc="T T T"
Y 0.000 0.000 0.000
Y 3.648 3.648 0.000
Nb 1.192 2.457 1.770
Nb 2.457 6.105 1.770
Nb 4.840 1.192 1.770
Nb 6.105 4.840 1.770
Ge 0.940 4.588 0.000
Ge 2.709 0.940 0.000
Ge 4.588 6.357 0.000
Ge 6.357 2.709 0.000
```

Results
crystal system	tetragonal
space-group type	P4/mbm

Arrangement three

Density functional theory data (PBE) for YNb2Ge2 after structural relaxation.

```
5
Lattice="-2.027 2.027 6.027 2.027 -2.027 6.027 2.027 2.027 -6.027" Properties=species:S:1:pos:R:3 pbc="T T T"
Y 0.000 0.000 0.000
Nb 2.027 0.000 3.014
Nb 0.000 2.027 3.014
Ge 0.000 0.000 4.785
Ge 0.000 0.000 7.269
```

Results
crystal system	tetragonal
space-group type	I4/mmm

Least stable of them? arrangement one.

Arrangement one

Density functional theory data (PBE) for Nb3ZnGe after structural relaxation.

```
5
Lattice="4.761 0.000 0.000 0.000 4.761 0.000 0.000 0.000 4.761" Properties=species:S:1:pos:R:3 pbc="T T T"
Nb 0.000 0.000 2.380
Nb 0.000 2.380 0.000
Nb 2.380 0.000 0.000
Zn 2.380 2.380 2.380
Ge 0.000 0.000 0.000
```

Results
crystal system	cubic
space-group type	Pm-3m

Arrangement two

Density functional theory data (PBE) for Nb3ZnGe after structural relaxation.

```
20
Lattice="6.301 -2.867 0.000 6.301 2.867 0.000 -0.030 0.000 9.790" Properties=species:S:1:pos:R:3 pbc="T T T"
Nb 2.404 0.190 1.966
Nb 5.622 1.437 5.776
Nb 2.389 -0.190 6.861
Nb 6.934 1.437 8.909
Nb 4.882 0.047 3.183
Nb 4.867 -0.047 8.078
Nb 7.704 0.047 1.712
Nb 7.689 -0.047 6.607
Nb 5.637 -1.437 0.881
Nb 10.183 0.190 2.929
Nb 6.949 -1.437 4.014
Nb 10.167 -0.190 7.824
Zn 4.463 1.508 0.590
Zn 8.123 1.508 4.305
Zn 4.448 -1.508 5.485
Zn 8.108 -1.508 9.200
Ge 3.135 1.434 4.895
Ge 6.293 2.153 2.448
Ge 3.150 -1.434 0.000
Ge 6.278 -2.153 7.343
```

Results
crystal system	monoclinic
space-group type	C2/c

Least stable of them? arrangement one.

Arrangement one

Density functional theory data (PBE) for Nb2Zn2Ge after structural relaxation.

```
10
Lattice="6.425 0.000 0.000 0.000 6.425 0.000 0.000 0.000 3.944" Properties=species:S:1:pos:R:3 pbc="T T T"
Nb 1.124 2.089 0.000
Nb 2.089 5.302 0.000
Nb 4.336 1.124 0.000
Nb 5.302 4.336 0.000
Zn 0.826 4.039 1.972
Zn 2.386 0.826 1.972
Zn 4.039 5.599 1.972
Zn 5.599 2.386 1.972
Ge 0.000 0.000 1.972
Ge 3.213 3.213 1.972
```

Results
crystal system	tetragonal
space-group type	P4/mbm

Arrangement two

Density functional theory data (PBE) for Nb2Zn2Ge after structural relaxation.

```
10
Lattice="6.714 0.000 0.000 0.000 6.714 0.000 0.000 0.000 3.995" Properties=species:S:1:pos:R:3 pbc="T T T"
Nb 1.012 2.345 0.000
Nb 2.345 5.702 0.000
Nb 4.369 1.012 0.000
Nb 5.702 4.369 0.000
Zn 0.994 4.351 1.997
Zn 2.363 0.994 1.997
Zn 4.351 5.720 1.997
Zn 5.720 2.363 1.997
Ge 0.000 0.000 0.000
Ge 3.357 3.357 0.000
```

Results
crystal system	tetragonal
space-group type	P4/mbm

Least stable of them? arrangement one.

Arrangement one

Density functional theory data (PBE) for ZrNbGe2 after structural relaxation.

```
4
Lattice="2.149 1.241 4.658 -2.149 1.241 4.658 0.000 -2.481 4.658" Properties=species:S:1:pos:R:3 pbc="T T T"
Zr 0.000 0.000 0.000
Nb 0.000 0.000 6.987
Ge 0.000 0.000 3.371
Ge 0.000 0.000 10.602
```

Results
crystal system	trigonal
space-group type	R-3m

Arrangement two

Density functional theory data (PBE) for ZrNbGe2 after structural relaxation.

```
8
Lattice="-3.013 3.013 5.931 3.013 -3.013 5.931 3.013 3.013 -5.931" Properties=species:S:1:pos:R:3 pbc="T T T"
Zr 0.000 0.000 0.000
Zr 0.000 3.013 2.965
Nb 3.013 0.000 2.965
Nb 0.000 0.000 5.931
Ge 1.507 -1.388 4.448
Ge 1.626 1.507 1.483
Ge 1.507 4.401 -1.483
Ge 1.388 1.507 7.413
```

Results
crystal system	tetragonal
space-group type	I-42d

Arrangement three

Density functional theory data (PBE) for ZrNbGe2 after structural relaxation.

```
16
Lattice="8.007 0.000 0.000 0.000 6.969 0.000 0.000 0.000 5.576" Properties=species:S:1:pos:R:3 pbc="T T T"
Zr 1.035 0.612 1.394
Zr 1.035 2.873 4.182
Zr 6.972 4.096 1.394
Zr 6.972 6.357 4.182
Nb 2.952 4.021 1.394
Nb 2.952 6.432 4.182
Nb 5.055 0.536 1.394
Nb 5.055 2.948 4.182
Ge 1.045 5.226 0.000
Ge 1.045 5.226 2.788
Ge 3.135 1.742 0.000
Ge 3.135 1.742 2.788
Ge 4.872 5.226 0.000
Ge 4.872 5.226 2.788
Ge 6.962 1.742 0.000
Ge 6.962 1.742 2.788
```

Results
crystal system	orthorhombic
space-group type	Pbcm

Arrangement four

Density functional theory data (PBE) for ZrNbGe2 after structural relaxation.

```
4
Lattice="0.000 3.298 3.298 3.298 0.000 3.298 3.298 3.298 0.000" Properties=species:S:1:pos:R:3 pbc="T T T"
Zr 0.000 0.000 0.000
Nb 3.298 3.298 3.298
Ge 1.649 1.649 1.649
Ge 4.948 4.948 4.948
```

Results
crystal system	cubic
space-group type	Fm-3m

Least stable of them? arrangement two.

Arrangement one

Density functional theory data (PBE) for ZrNb3Ge after structural relaxation.

```
5
Lattice="4.797 0.000 0.000 0.000 4.797 0.000 0.000 0.000 4.797" Properties=species:S:1:pos:R:3 pbc="T T T"
Zr 0.000 0.000 0.000
Nb 0.000 2.399 2.399
Nb 2.399 0.000 2.399
Nb 2.399 2.399 0.000
Ge 2.399 2.399 2.399
```

Results
crystal system	cubic
space-group type	Pm-3m

Arrangement two

Density functional theory data (PBE) for ZrNb3Ge after structural relaxation.

```
5
Lattice="4.916 0.000 0.000 0.000 4.916 0.000 0.000 0.000 4.916" Properties=species:S:1:pos:R:3 pbc="T T T"
Zr 0.000 0.000 0.000
Nb 0.000 0.000 2.458
Nb 0.000 2.458 0.000
Nb 2.458 0.000 0.000
Ge 2.458 2.458 2.458
```

Results
crystal system	cubic
space-group type	Pm-3m

Least stable of them? arrangement two.

Arrangement one

Density functional theory data (PBE) for Zr3NbGe after structural relaxation.

```
5
Lattice="5.062 0.000 0.000 0.000 5.062 0.000 0.000 0.000 5.062" Properties=species:S:1:pos:R:3 pbc="T T T"
Zr 0.000 0.000 2.531
Zr 0.000 2.531 0.000
Zr 2.531 0.000 0.000
Nb 0.000 0.000 0.000
Ge 2.531 2.531 2.531
```

Results
crystal system	cubic
space-group type	Pm-3m

Arrangement two

Density functional theory data (PBE) for Zr3NbGe after structural relaxation.

```
5
Lattice="4.986 0.000 0.000 0.000 4.986 0.000 0.000 0.000 4.986" Properties=species:S:1:pos:R:3 pbc="T T T"
Zr 0.000 0.000 2.493
Zr 0.000 2.493 0.000
Zr 2.493 0.000 0.000
Nb 2.493 2.493 2.493
Ge 0.000 0.000 0.000
```

Results
crystal system	cubic
space-group type	Pm-3m

Least stable of them? arrangement one.